The following is a DFT calculation (PBE) of Pr4NdS5 after structural relaxation.

```
data_Pr4NdS5
_cell_length_a 4.099
_cell_length_b 5.793
_cell_length_c 10.850
_cell_angle_alpha 105.48
_cell_angle_beta 100.89
_cell_angle_gamma 90.00
_space_group_name_H-M_alt 'P 1'
_space_group_IT_number 1
_space_group_name_Hall 'P 1'
loop_
_atom_site_label
_atom_site_type_symbol
_atom_site_fract_x
_atom_site_fract_y
_atom_site_fract_z
Pr1 Pr 0.800 0.800 0.601
Pr2 Pr 0.400 0.400 0.800
Pr3 Pr 0.600 0.600 0.200
Pr4 Pr 0.200 0.200 0.399
S1 S 0.401 0.901 0.802
S2 S 0.599 0.099 0.198
S3 S 0.200 0.700 0.400
S4 S 0.000 0.500 0.000
S5 S 0.800 0.300 0.600
Nd1 Nd 0.000 0.000 0.000
```

Results
- DOS at the Fermi energy: 4.91 states/eV/cell
- E_form (uncorrected): -2018 meV/atom
- Size of the total moment: 0.000 μB per atom
- Volume: 24.3 A^3/atom